Record 1
# Co2CuTc, optimized geometry, DFT PBE
data_Co2CuTc
_space_group_name_H-M_alt 'P 1'
_space_group_IT_number 1
_cell_length_a 4.088
_cell_length_b 4.088
_cell_length_c 4.088
_cell_angle_alpha 60.00
_cell_angle_beta 60.00
_cell_angle_gamma 60.00
loop_
_space_group_symop_operation_xyz
'x,y,z'
loop_
_atom_site_label
_atom_site_type_symbol
_atom_site_fract_x
_atom_site_fract_y
_atom_site_fract_z
Co1 Co 0.000 0.000 0.000
Co2 Co 0.250 0.250 0.250
Cu1 Cu 0.750 0.750 0.750
Tc1 Tc 0.500 0.500 0.500
# ΔE to the lowest computed polymorph in meV/atom: 214
# Theoretical density in g/cm3: 9.60
# Calculated volume in Å³ per cell: 48.31
# VASP energy in eV/atom: -6.829
# Spin magnetization in μB/f.u.: 2.0
# ΔH_f (0 K) in eV per atom: 0.339
# Density of states at the Fermi level in states/eV/cell: 6.285
# SG: No. 216


Record 2
# CuSb2Pt, optimized geometry, DFT PBE
data_CuSb2Pt
_space_group_name_H-M_alt 'P 1'
_space_group_IT_number 1
_cell_length_a 3.257
_cell_length_b 3.257
_cell_length_c 7.457
_cell_angle_alpha 90.00
_cell_angle_beta 90.00
_cell_angle_gamma 90.00
loop_
_space_group_symop_operation_xyz
'x,y,z'
loop_
_atom_site_label
_atom_site_type_symbol
_atom_site_fract_x
_atom_site_fract_y
_atom_site_fract_z
Cu1 Cu 0.000 0.000 0.000
Sb1 Sb 0.500 0.500 0.253
Sb2 Sb 0.500 0.500 0.747
Pt1 Pt 0.000 0.000 0.500
# Theoretical density in g/cm3: 10.54
# Calculated volume in Å³ per cell: 79.13
# VASP energy in eV/atom: -4.523
# Spin magnetization in μB/f.u.: 0.0
# Density of states at the Fermi level in states/eV/cell: 1.944
# SG: No. 123


Record 3
# Pr2HoPd, optimized geometry, DFT PBE
data_Pr2HoPd
_space_group_name_H-M_alt 'P 1'
_space_group_IT_number 1
_cell_length_a 9.937
_cell_length_b 9.937
_cell_length_c 9.937
_cell_angle_alpha 22.34
_cell_angle_beta 22.34
_cell_angle_gamma 22.34
loop_
_space_group_symop_operation_xyz
'x,y,z'
loop_
_atom_site_label
_atom_site_type_symbol
_atom_site_fract_x
_atom_site_fract_y
_atom_site_fract_z
Pr1 Pr 0.000 0.000 0.000
Pr2 Pr 0.199 0.199 0.199
Ho1 Ho 0.767 0.767 0.767
Pd1 Pd 0.599 0.599 0.599
# ΔE to the lowest computed polymorph in meV/atom: 162
# Theoretical density in g/cm3: 7.39
# Calculated volume in Å³ per cell: 124.31
# VASP energy in eV/atom: -5.049
# Spin magnetization in μB/f.u.: 0.0
# ΔH_f (0 K) in eV per atom: -0.217
# Density of states at the Fermi level in states/eV/cell: 4.736
# SG: No. 160


Record 4
# HgMoIr2, optimized geometry, DFT PBE
data_HgMoIr2
_space_group_name_H-M_alt 'P 1'
_space_group_IT_number 1
_cell_length_a 2.811
_cell_length_b 4.051
_cell_length_c 5.757
_cell_angle_alpha 90.00
_cell_angle_beta 90.00
_cell_angle_gamma 90.00
loop_
_space_group_symop_operation_xyz
'x,y,z'
loop_
_atom_site_label
_atom_site_type_symbol
_atom_site_fract_x
_atom_site_fract_y
_atom_site_fract_z
Hg1 Hg 0.000 0.000 0.000
Mo1 Mo 0.500 0.500 0.703
Ir1 Ir 0.000 0.000 0.509
Ir2 Ir 0.500 0.500 0.259
# Theoretical density in g/cm3: 17.25
# Calculated volume in Å³ per cell: 65.55
# VASP energy in eV/atom: -6.920
# Spin magnetization in μB/f.u.: 0.0
# ΔH_f (0 K) in eV per atom: 0.293
# Density of states at the Fermi level in states/eV/cell: 5.177
# SG: No. 25


Record 5
# Li2Pm4Al, optimized geometry, DFT PBE
data_Li2Pm4Al
_space_group_name_H-M_alt 'P 1'
_space_group_IT_number 1
_cell_length_a 8.898
_cell_length_b 8.898
_cell_length_c 8.898
_cell_angle_alpha 33.86
_cell_angle_beta 33.86
_cell_angle_gamma 33.86
loop_
_space_group_symop_operation_xyz
'x,y,z'
loop_
_atom_site_label
_atom_site_type_symbol
_atom_site_fract_x
_atom_site_fract_y
_atom_site_fract_z
Li1 Li 0.238 0.238 0.238
Li2 Li 0.762 0.762 0.762
Pm1 Pm 0.116 0.116 0.116
Pm2 Pm 0.370 0.370 0.370
Pm3 Pm 0.630 0.630 0.630
Pm4 Pm 0.884 0.884 0.884
Al1 Al 0.500 0.500 0.500
# Theoretical density in g/cm3: 5.29
# Calculated volume in Å³ per cell: 194.94
# VASP energy in eV/atom: -3.723
# Spin magnetization in μB/f.u.: 0.1
# ΔH_f (0 K) in eV per atom: 0.073
# Density of states at the Fermi level in states/eV/cell: 9.882
# SG: No. 166


Record 6
# PrGaBr2, optimized geometry, DFT PBE
data_PrGaBr2
_space_group_name_H-M_alt 'P 1'
_space_group_IT_number 1
_cell_length_a 10.018
_cell_length_b 10.018
_cell_length_c 10.018
_cell_angle_alpha 23.69
_cell_angle_beta 23.69
_cell_angle_gamma 23.69
loop_
_space_group_symop_operation_xyz
'x,y,z'
loop_
_atom_site_label
_atom_site_type_symbol
_atom_site_fract_x
_atom_site_fract_y
_atom_site_fract_z
Pr1 Pr 0.000 0.000 0.000
Ga1 Ga 0.500 0.500 0.500
Br1 Br 0.099 0.099 0.099
Br2 Br 0.901 0.901 0.901
# Theoretical density in g/cm3: 4.31
# Calculated volume in Å³ per cell: 142.57
# VASP energy in eV/atom: -3.473
# Spin magnetization in μB/f.u.: 0.0
# Density of states at the Fermi level in states/eV/cell: 1.647
# SG: No. 166